SrAlGa2Cu4 after structural relaxation. Source: Alexandria via LeMat-Bulk, functional PBE.

Its electronic total energy is -3.6587 eV per atom. The total magnetization comes out at 0.00 μB/f.u. The calculation puts the formation energy at -0.176 eV per atom.

The space group is R-3m (No. 166, hexagonal axes) and the conventional cell measures 4.1991, 4.1991 and 27.2472 Å, with angles of 90.00, 90.00 and 120.00 degrees. The inequivalent atoms are Sr at (0.0000, 0.0000, 0.0000), Al at (0.0000, 0.0000, 0.5000), Ga at (0.0000, 0.0000, 0.2416), Cu at (0.0000, 0.0000, 0.1364) and Cu at (0.0000, 0.0000, 0.4117).